1.
## CaSi2NiO6 (SCAN)

Data for CaSi2NiO6 at its PBEsol-relaxed geometry.

Unit cell a=5.223 b=6.576 c=6.576 alpha=84.30 beta=78.22 gamma=78.22
Site moments in Bohr magnetons follow the coordinates.
Fractional coordinates of all 20 atoms:
O 0.141 0.972 0.799  0.07
Ca 0.250 0.296 0.704  0.00
O 0.859 0.028 0.201  0.07
Si 0.275 0.381 0.193  0.01
Si 0.725 0.619 0.807  0.01
O 0.641 0.799 0.972  0.07
O 0.490 0.627 0.666  0.00
Ni 0.250 0.910 0.090  1.67
O 0.990 0.666 0.627  0.00
O 0.359 0.201 0.028  0.07
O 0.320 0.895 0.386  0.04
Ni 0.750 0.090 0.910  1.67
O 0.510 0.373 0.334  0.00
Si 0.225 0.807 0.619  0.01
O 0.820 0.386 0.895  0.04
Ca 0.750 0.704 0.296  0.00
O 0.680 0.105 0.614  0.04
O 0.180 0.614 0.105  0.04
O 0.010 0.334 0.373  0.00
Si 0.775 0.193 0.381  0.01

Calculated total energy in eV per formula unit: -111.67
Spin magnetization in μB per cell: 3.9
Fermi-level density of states in states/eV/atom: 0.000
Energy relative to the elements, uncorrected in eV per atom: -2.841

***

2.
## RbHf3Re (SCAN)

Data for RbHf3Re at its PBEsol-relaxed geometry.

Unit cell a=4.774 b=4.774 c=4.774 alpha=90.00 beta=90.00 gamma=90.00
Site moments in Bohr magnetons follow the coordinates.
Fractional coordinates of all 5 atoms:
Hf 0.000 0.500 0.000  -0.12
Hf 0.000 0.000 0.500  -0.12
Re 0.500 0.500 0.500  0.99
Hf 0.500 0.000 0.000  -0.12
Rb 0.000 0.000 0.000  -0.02

Calculated total energy in eV per formula unit: -265.69
Spin magnetization in μB per cell: 0.8
E_form in kcal/mol of atoms: 65.32
Fermi-level density of states in states/eV/atom: 0.831

***

3.
## AlTcIr4 (SCAN)

Data for AlTcIr4 at its PBEsol-relaxed geometry.

Unit cell a=5.074 b=5.074 c=5.074 alpha=60.00 beta=60.00 gamma=60.00
Site moments in Bohr magnetons follow the coordinates.
Fractional coordinates of all 6 atoms:
Tc 0.250 0.250 0.250  1.99
Ir 0.625 0.125 0.625  0.10
Ir 0.625 0.625 0.625  0.10
Ir 0.125 0.625 0.625  0.10
Ir 0.625 0.625 0.125  0.10
Al 0.000 0.000 0.000  -0.02

Calculated total energy in eV per formula unit: -325.44
Spin magnetization in μB per cell: 2.5
E_form in kcal/mol of atoms: 6.79
Fermi-level density of states in states/eV/atom: 1.128

***

4.
## SrBe2Pb (SCAN)

Data for SrBe2Pb at its PBEsol-relaxed geometry.

Unit cell a=4.198 b=4.198 c=6.153 alpha=70.05 beta=70.05 gamma=60.00
Fractional coordinates of all 4 atoms:
Be 0.792 0.792 0.623
Be 0.208 0.208 0.377
Pb 0.500 0.500 0.500
Sr 0.000 0.000 0.000

Calculated total energy in eV per formula unit: -105.99
Spin magnetization in μB per cell: 0.0
E_form in kcal/mol of atoms: 4.46
Fermi-level density of states in states/eV/atom: 0.555

***

5.
## Cr2W (SCAN)

Data for Cr2W at its PBEsol-relaxed geometry.

Unit cell a=2.948 b=2.948 c=4.864 alpha=107.64 beta=107.64 gamma=90.00
Fractional coordinates of all 3 atoms:
W 0.500 0.500 0.000
Cr 0.172 0.172 0.344
Cr 0.828 0.828 0.656

Calculated total energy in eV per formula unit: -106.29
Spin magnetization in μB per cell: 0.0
E_form in kcal/mol of atoms: 1.26
Fermi-level density of states in states/eV/atom: 0.548

***

6.
## Zr2ScPb (SCAN)

Data for Zr2ScPb at its PBEsol-relaxed geometry.

Unit cell a=4.310 b=4.310 c=5.652 alpha=112.41 beta=112.41 gamma=90.00
Fractional coordinates of all 4 atoms:
Zr 0.750 0.250 0.500
Sc 0.000 0.000 0.000
Pb 0.500 0.500 0.000
Zr 0.250 0.750 0.500

Calculated total energy in eV per formula unit: -152.87
Spin magnetization in μB per cell: 0.0
E_form in kcal/mol of atoms: -8.41
Fermi-level density of states in states/eV/atom: 0.916

***

7.
## MnHg2P (SCAN)

Data for MnHg2P at its PBEsol-relaxed geometry.

Unit cell a=2.947 b=3.347 c=7.495 alpha=102.76 beta=90.00 gamma=90.00
Site moments in Bohr magnetons follow the coordinates.
Fractional coordinates of all 4 atoms:
Hg 0.000 0.928 0.975  -0.01
P 0.500 0.268 0.668  -0.09
Mn 0.000 0.728 0.588  3.25
Hg 0.500 0.576 0.270  0.00

Calculated total energy in eV per formula unit: -164.98
Spin magnetization in μB per cell: 3.2
E_form in kcal/mol of atoms: 0.04
Fermi-level density of states in states/eV/atom: 0.479

***

8.
## NiPdCl2 (SCAN)

Data for NiPdCl2 at its PBEsol-relaxed geometry.

Unit cell a=4.392 b=4.392 c=4.392 alpha=60.00 beta=60.00 gamma=60.00
Site moments in Bohr magnetons follow the coordinates.
Fractional coordinates of all 4 atoms:
Ni 0.000 0.000 0.000  1.16
Pd 0.500 0.500 0.500  0.51
Cl 0.750 0.750 0.750  0.19
Cl 0.250 0.250 0.250  0.19

Calculated total energy in eV per formula unit: -63.96
Spin magnetization in μB per cell: 2.0
Fermi-level density of states in states/eV/atom: 0.664
Energy relative to the elements, uncorrected in eV per atom: 0.236